1.
The following is a GGA-PBEsol calculation of FeRu2Rh after structural relaxation, from Alexandria.

Calculated values
- Final energy: -9.271 eV per atom
- Energy above the most stable polymorph in this dataset: 0.000 eV/atom
- Spin magnetization: 1.989 μB per cell
- Crystal system: tetragonal
- Formation energy: 90.9 meV/atom
- Calculated volume: 51.0 Å³ per cell

abc: 2.6363 2.6363 7.3316
angles: 90.00 90.00 90.00
Fractional positions:
Ru (0.0000, 0.0000, 0.0024)
Ru (0.5000, 0.5000, 0.2578)
Rh (0.5000, 0.5000, 0.7415)
Fe (0.0000, 0.0000, 0.4983)


2.
The following is a GGA-PBEsol calculation of FeRu2Rh after structural relaxation, from Alexandria.

Calculated values
- Final energy: -9.256 eV per atom
- Energy above the most stable polymorph in this dataset: 0.014 eV/atom
- Spin magnetization: 2.134 μB per cell
- Crystal system: monoclinic
- Formation energy: 105.3 meV/atom
- Calculated volume: 51.2 Å³ per cell

abc: 2.6356 4.5515 4.5362
angles: 99.87 90.00 106.83
Fractional positions:
Fe (0.5007, 0.0014, 0.4992)
Rh (0.7516, 0.5032, 0.2583)
Ru (0.9991, 0.9982, 0.9902)
Ru (0.2486, 0.4971, 0.7522)


3.
The following is a GGA-PBEsol calculation of FeSbRh after structural relaxation, from Alexandria.

Calculated values
- Final energy: -7.182 eV per atom
- E_form (uncorrected): 37 meV per atom
- Spin magnetization: 3.019 μB per cell
- Crystal system: tetragonal
- Calculated volume: 46.1 Å³ per cell

abc: 3.4047 3.4047 4.6526
angles: 111.46 111.46 90.00
Fractional positions:
Fe (0.9960, 0.9960, 0.9919)
Rh (0.3354, 0.3354, 0.6707)
Sb (0.6687, 0.6687, 0.3374)


4.
The following is a GGA-PBEsol calculation of Sc2FeRh after structural relaxation, from Alexandria.

Calculated values
- Final energy: -7.763 eV per atom
- Spin magnetization: 2.655 μB per cell
- Crystal system: tetragonal
- Formation energy: -185.2 meV/atom
- Calculated volume: 69.7 Å³ per cell

abc: 2.9897 2.9897 7.7981
angles: 90.00 90.00 90.00
Fractional positions:
Fe (0.0000, 0.0000, 0.5321)
Rh (0.5000, 0.5000, 0.7205)
Sc (0.0000, 0.0000, 0.9397)
Sc (0.5000, 0.5000, 0.3077)


5.
The following is a GGA-PBEsol calculation of Sc2FeRh after structural relaxation, from Alexandria.

Calculated values
- Final energy: -7.886 eV per atom
- Spin magnetization: 1.414 μB per cell
- Crystal system: tetragonal
- Formation energy: -308.4 meV/atom
- Calculated volume: 63.8 Å³ per cell

abc: 3.6962 3.6962 5.3485
angles: 110.21 110.21 90.00
Fractional positions:
Fe (0.5000, 0.5000, 0.0000)
Rh (0.2500, 0.7500, 0.5000)
Sc (0.0000, 0.0000, 0.0000)
Sc (0.7500, 0.2500, 0.5000)


6.
The following is a GGA-PBEsol calculation of Sc2FeRh after structural relaxation, from Alexandria.

Calculated values
- Final energy: -8.097 eV per atom
- Spin magnetization: 0.362 μB per cell
- Crystal system: tetragonal
- Formation energy: -519.1 meV/atom
- Calculated volume: 61.2 Å³ per cell

abc: 3.1209 3.1209 6.2853
angles: 90.00 90.00 90.00
Fractional positions:
Sc (0.0000, 0.0000, 0.7607)
Sc (0.0000, 0.0000, 0.2393)
Rh (0.5000, 0.5000, 0.5000)
Fe (0.5000, 0.5000, 0.0000)


Number 1: Fermi-level density of states 5.08 states/eV/f.u.. Number 2: Fermi-level density of states 5.13 states/eV/f.u.. Number 3: Fermi-level density of states 2.52 states/eV/f.u.. Number 4: Fermi-level density of states 3.49 states/eV/f.u.. Number 5: Fermi-level density of states 3.33 states/eV/f.u.. Number 6: Fermi-level density of states 3.94 states/eV/f.u..